YNi2Ge2 GGA-PBE relaxed; ΔE_f = -696.2 meV per atom; crystal system = tetragonal; total magnetic moment = 0.00 Bohr magnetons per cell; VASP energy = -30.74 eV per cell; density of states at the Fermi level = 3.2 states/eV/cell
1.0
-3.852 -0.865 -0.991
0.224 -3.452 2.145
-3.380 0.228 4.581
Y Ni Ge
1 2 2
Direct
0.000 0.000 0.000 Y
0.750 0.250 0.500 Ni
0.250 0.750 0.500 Ni
0.371 0.371 0.257 Ge
0.629 0.629 0.743 Ge


YNi3Ge2 GGA-PBE relaxed; ΔE_f = -557.2 meV per atom; crystal system = monoclinic; total magnetic moment = 0.00 Bohr magnetons per cell; VASP energy = -72.77 eV per cell; density of states at the Fermi level = 7.8 states/eV/cell
1.0
-3.169 -2.057 0.867
5.455 -5.283 -1.262
-0.008 2.775 6.555
Y Ni Ge
2 6 4
Direct
0.849 0.697 0.931 Y
0.151 0.303 0.069 Y
0.314 0.628 0.552 Ni
0.960 0.921 0.622 Ni
0.591 0.181 0.664 Ni
0.409 0.819 0.336 Ni
0.040 0.079 0.378 Ni
0.686 0.372 0.448 Ni
0.479 0.957 0.812 Ge
0.521 0.043 0.188 Ge
0.809 0.618 0.317 Ge
0.191 0.382 0.683 Ge


Y2Ni2Ge GGA-PBE relaxed; ΔE_f = -536.1 meV per atom; crystal system = tetragonal; total magnetic moment = 0.00 Bohr magnetons per cell; VASP energy = -63.58 eV per cell; density of states at the Fermi level = 6.0 states/eV/cell
1.0
7.119 0.000 0.000
0.000 7.119 0.000
0.000 0.000 3.721
Y Ni Ge
4 4 2
Direct
0.181 0.681 0.500 Y
0.681 0.819 0.500 Y
0.819 0.319 0.500 Y
0.319 0.181 0.500 Y
0.380 0.880 0.000 Ni
0.880 0.620 0.000 Ni
0.620 0.120 0.000 Ni
0.120 0.380 0.000 Ni
0.000 0.000 0.000 Ge
0.500 0.500 0.000 Ge


YNi2Ge2 GGA-PBE relaxed; ΔE_f = -561.0 meV per atom; crystal system = tetragonal; total magnetic moment = 0.00 Bohr magnetons per cell; VASP energy = -30.07 eV per cell; density of states at the Fermi level = 3.0 states/eV/cell
1.0
-0.293 -0.786 -4.099
4.077 -0.934 -0.113
0.890 -5.350 -1.174
Y Ni Ge
1 2 2
Direct
0.000 0.000 0.000 Y
0.372 0.372 0.255 Ni
0.628 0.628 0.745 Ni
0.750 0.250 0.500 Ge
0.250 0.750 0.500 Ge